! NaTl8Hg3, optimized geometry, DFT PBE; values from VASP
! Crystal system   monoclinic
! Energy relative to the elements   14 meV per atom
&SYSTEM
  ibrav = 0, nat = 12, ntyp = 3
/
ATOMIC_SPECIES
Hg 200.59 Hg.upf
Tl 204.38 Tl.upf
Na 22.99 Na.upf
ATOMIC_POSITIONS angstrom
Hg 6.2133 4.2902 4.8504
Hg 1.6611 4.2384 2.4253
Hg 4.5521 0.0517 2.4251
Tl 9.5082 3.1732 9.9882
Tl 11.1676 7.7108 11.9371
Tl 3.5353 2.4411 4.3819
Tl 5.1947 6.9788 6.3308
Tl 4.6260 3.1941 7.3684
Tl 8.3669 2.3852 6.3306
Tl 6.3361 7.7668 9.9884
Tl 10.0769 6.9578 8.9506
Na 7.3515 5.0760 8.1595
CELL_PARAMETERS angstrom
9.1043 0.1035 4.8502
3.3223 8.4768 4.8506
2.2764 1.5716 6.6182